Entry 1:
Below is a relaxed structure of GdTmMgPt, with properties calculated at the PBE-GGA level.

Formation energy ... -2.389 eV/f.u.
SG ... F-43m
V ... 92.5 Å³ per cell

Cell: 5.076 5.076 5.076 Å, 60.00 60.00 60.00°
Each line ends with the local moment (μB).
Fractional positions:
Gd (0.000, 0.000, 0.000)  7.01
Mg (0.250, 0.250, 0.250)  0.00
Tm (0.500, 0.500, 0.500)  0.01
Pt (0.750, 0.750, 0.750)  -0.02

=====

Entry 2:
Below is a relaxed structure of Nb6CuSe8, with properties calculated at the PBE-GGA level.

SG ... P-3
V ... 304.0 Å³ per cell
ΔE_f (raw) ... -0.676 eV per atom

Cell: 10.035 10.035 3.486 Å, 90.00 90.00 120.00°
Fractional positions:
Nb (0.109, 0.621, 0.249)
Nb (0.512, 0.891, 0.249)
Nb (0.379, 0.488, 0.249)
Nb (0.891, 0.379, 0.751)
Nb (0.488, 0.109, 0.751)
Nb (0.621, 0.512, 0.751)
Cu (0.000, 0.000, 0.500)
Se (0.276, 0.943, 0.252)
Se (0.667, 0.724, 0.252)
Se (0.057, 0.333, 0.252)
Se (0.724, 0.057, 0.748)
Se (0.333, 0.276, 0.748)
Se (0.943, 0.667, 0.748)
Se (0.667, 0.333, 0.250)
Se (0.333, 0.667, 0.750)

=====

Entry 3:
Below is a relaxed structure of CdOs, with properties calculated at the PBE-GGA level.

Formation energy ... 2.895 eV/f.u.
SG ... P4_2/mnm
V ... 164.0 Å³ per cell

Cell: 5.478 5.478 5.465 Å, 90.00 90.00 90.00°
Fractional positions:
Cd (0.179, 0.821, 0.000)
Cd (0.679, 0.679, 0.500)
Cd (0.321, 0.321, 0.500)
Cd (0.821, 0.179, 0.000)
Os (0.350, 0.350, 0.000)
Os (0.850, 0.150, 0.500)
Os (0.150, 0.850, 0.500)
Os (0.650, 0.650, 0.000)

=====

Entry 4:
Below is a relaxed structure of Sm2Dy6Ho3Tl, with properties calculated at the PBE-GGA level.

Formation energy ... -0.291 eV/f.u.
SG ... C2/m
V ... 369.6 Å³ per cell

Cell: 6.090 6.090 11.693 Å, 95.00 95.00 120.04°
Fractional positions:
Sm (0.334, 0.666, 0.000)
Sm (0.666, 0.334, 0.000)
Dy (0.917, 0.589, 0.750)
Dy (0.755, 0.755, 0.251)
Dy (0.083, 0.411, 0.250)
Dy (0.589, 0.917, 0.750)
Dy (0.245, 0.245, 0.749)
Dy (0.411, 0.083, 0.250)
Ho (0.167, 0.833, 0.500)
Ho (0.833, 0.167, 0.500)
Ho (0.500, 0.500, 0.500)
Tl (0.000, 0.000, 0.000)

=====

Entry 5:
Below is a relaxed structure of Pm4In5Rh2, with properties calculated at the PBE-GGA level.

Formation energy ... -6.332 eV/f.u.
SG ... P2/m
V ... 283.8 Å³ per cell

Cell: 3.737 7.797 9.763 Å, 93.93 90.00 90.00°
Fractional positions:
Pm (0.500, 0.778, 0.557)
Pm (0.500, 0.173, 0.852)
Pm (0.500, 0.222, 0.443)
Pm (0.500, 0.827, 0.148)
In (0.000, 0.549, 0.323)
In (0.000, 0.179, 0.153)
In (0.000, 0.500, 0.000)
In (0.000, 0.821, 0.847)
In (0.000, 0.451, 0.677)
Rh (0.000, 0.074, 0.641)
Rh (0.000, 0.926, 0.359)

=====

Entry 6:
Below is a relaxed structure of K5Be, with properties calculated at the PBE-GGA level.

Formation energy ... 2.631 eV/f.u.
SG ... Amm2
Excess energy over the best structure of this formula in the dataset ... 0.0422 eV/atom
V ... 336.5 Å³ per cell

Cell: 9.806 9.806 6.488 Å, 90.00 90.00 147.36°
Fractional positions:
K (0.340, 0.660, 0.000)
K (0.606, 0.394, 0.000)
K (0.472, 0.528, 0.500)
K (0.812, 0.188, 0.500)
K (0.130, 0.870, 0.500)
Be (0.973, 0.027, 0.000)

=====

Entry 7:
Below is a relaxed structure of La3Tl4SnTe8, with properties calculated at the PBE-GGA level.

SG ... R-3m
V ... 598.4 Å³ per cell
ΔE_f (raw) ... -0.910 eV per atom

Cell: 9.291 9.636 9.291 Å, 118.83 120.00 90.00°
Fractional positions:
La (0.500, 0.500, 0.000)
La (0.500, 0.500, 0.500)
La (0.000, 0.500, 0.500)
Tl (0.500, 0.000, 0.000)
Tl (0.500, 0.000, 0.500)
Tl (0.000, 0.000, 0.000)
Tl (0.000, 0.000, 0.500)
Sn (0.000, 0.500, 0.000)
Te (0.238, 0.721, 0.984)
Te (0.238, 0.721, 0.476)
Te (0.258, 0.275, 0.516)
Te (0.746, 0.721, 0.984)
Te (0.254, 0.279, 0.016)
Te (0.742, 0.725, 0.484)
Te (0.762, 0.279, 0.524)
Te (0.762, 0.279, 0.016)

=====

Entry 8:
Below is a relaxed structure of ScSiSb2Te, with properties calculated at the PBE-GGA level.

SG ... P4/mmm
Excess energy over the best structure of this formula in the dataset ... 0.0000 eV/atom
V ... 140.6 Å³ per cell
ΔE_f (raw) ... 0.323 eV per atom

Cell: 5.178 5.178 5.243 Å, 90.00 90.00 90.00°
Fractional positions:
Sc (0.500, 0.500, 0.500)
Sb (0.000, 0.500, 0.000)
Sb (0.500, 0.000, 0.000)
Si (0.000, 0.000, 0.000)
Te (0.000, 0.000, 0.500)

=====

Entry 9:
Below is a relaxed structure of Ho2PuBi, with properties calculated at the PBE-GGA level.

Formation energy ... -0.869 eV/f.u.
SG ... P4/mmm
Excess energy over the best structure of this formula in the dataset ... 0.0425 eV/atom
V ... 115.9 Å³ per cell

Cell: 4.005 4.005 7.226 Å, 90.00 90.00 90.00°
Each line ends with the local moment (μB).
Fractional positions:
Ho (0.000, 0.000, 0.734)  0.29
Ho (0.000, 0.000, 0.266)  0.29
Bi (0.500, 0.500, 0.500)  -0.03
Pu (0.500, 0.500, 0.000)  5.61

=====

Entry 10:
Below is a relaxed structure of PmThH, with properties calculated at the PBE-GGA level.

SG ... P3m1
Excess energy over the best structure of this formula in the dataset ... 0.0050 eV/atom
V ... 68.5 Å³ per cell

Cell: 3.644 3.644 5.954 Å, 90.00 90.00 120.00°
Fractional positions:
H (0.333, 0.667, 0.666)
Th (0.667, 0.333, 0.418)
Pm (0.000, 0.000, 0.916)

=====

Entry 11:
Below is a relaxed structure of SbW2Br, with properties calculated at the PBE-GGA level.

SG ... Fm-3m
Excess energy over the best structure of this formula in the dataset ... 0.9138 eV/atom
V ... 71.5 Å³ per cell
ΔE_f (raw) ... 1.114 eV per atom

Cell: 4.659 4.659 4.659 Å, 60.00 60.00 60.00°
Fractional positions:
Sb (0.500, 0.500, 0.500)
Br (0.000, 0.000, 0.000)
W (0.250, 0.250, 0.250)
W (0.750, 0.750, 0.750)

=====

Entry 12:
Below is a relaxed structure of Ac2Nd4Bi3N2, with properties calculated at the PBE-GGA level.

SG ... I4/mmm
V ... 332.0 Å³ per cell
ΔE_f (raw) ... -1.021 eV per atom

Cell: 4.933 4.933 14.080 Å, 100.09 100.09 90.00°
Fractional positions:
Ac (0.309, 0.309, 0.619)
Ac (0.691, 0.691, 0.381)
Nd (0.419, 0.919, 0.838)
Nd (0.919, 0.419, 0.838)
Nd (0.081, 0.581, 0.162)
Nd (0.581, 0.081, 0.162)
Bi (0.000, 0.000, 0.000)
Bi (0.174, 0.174, 0.349)
Bi (0.826, 0.826, 0.651)
N (0.399, 0.399, 0.798)
N (0.601, 0.601, 0.202)

=====

Entry 13:
Below is a relaxed structure of Sc3TlH, with properties calculated at the PBE-GGA level.

SG ... P4mm
Excess energy over the best structure of this formula in the dataset ... 0.6736 eV/atom
V ... 130.1 Å³ per cell

Cell: 4.038 4.038 7.979 Å, 90.00 90.00 90.00°
Each line ends with the local moment (μB).
Fractional positions:
Sc (0.000, 0.000, 0.782)  0.39
Sc (0.500, 0.000, 0.463)  0.33
Sc (0.000, 0.500, 0.463)  0.35
H (0.500, 0.500, 0.403)  0.00
Tl (0.000, 0.000, 0.152)  0.01

=====

Entry 14:
Below is a relaxed structure of Er6Mn2Hg, with properties calculated at the PBE-GGA level.

Formation energy ... -0.747 eV/f.u.
SG ... Immm
V ... 441.7 Å³ per cell

Cell: 8.312 8.312 8.312 Å, 107.73 109.88 110.82°
Each line ends with the local moment (μB).
Fractional positions:
Er (0.526, 0.715, 0.811)  -0.10
Er (0.474, 0.285, 0.189)  -0.10
Er (0.097, 0.285, 0.811)  -0.10
Er (0.903, 0.715, 0.189)  -0.10
Er (0.784, 0.771, 0.555)  0.01
Er (0.216, 0.229, 0.445)  0.01
Er (0.216, 0.771, 0.987)  0.01
Er (0.784, 0.229, 0.013)  0.01
Er (0.709, 0.395, 0.686)  -0.10
Er (0.291, 0.605, 0.314)  -0.10
Er (0.291, 0.977, 0.686)  -0.10
Er (0.709, 0.023, 0.314)  -0.10
Mn (0.500, 0.393, 0.893)  0.94
Mn (0.500, 0.607, 0.107)  0.94
Mn (0.612, 0.000, 0.612)  1.29
Mn (0.388, 0.000, 0.388)  1.29
Hg (0.000, 0.500, 0.500)  -0.02
Hg (0.000, 0.000, 0.000)  0.00

=====

Entry 15:
Below is a relaxed structure of TiTcPRu, with properties calculated at the PBE-GGA level.

Formation energy ... -2.397 eV/f.u.
SG ... F-43m
V ... 53.6 Å³ per cell

Cell: 4.231 4.231 4.231 Å, 60.00 60.00 60.00°
Fractional positions:
Ru (0.750, 0.750, 0.750)
Tc (0.250, 0.250, 0.250)
P (0.500, 0.500, 0.500)
Ti (0.000, 0.000, 0.000)

=====

Entry 16:
Below is a relaxed structure of Rb2AgPdF6, with properties calculated at the PBE-GGA level.

SG ... R-3m
Excess energy over the best structure of this formula in the dataset ... 0.0418 eV/atom
V ... 362.4 Å³ per cell
ΔE_f (raw) ... -1.873 eV per atom

Cell: 6.267 6.267 11.251 Å, 73.83 73.83 60.00°
Each line ends with the local moment (μB).
Fractional positions:
Rb (0.865, 0.865, 0.404)  0.00
Rb (0.135, 0.135, 0.596)  0.00
Rb (0.721, 0.721, 0.837)  0.00
Rb (0.279, 0.279, 0.163)  0.00
Ag (0.593, 0.593, 0.222)  -0.01
Ag (0.407, 0.407, 0.778)  -0.01
Pd (0.000, 0.000, 0.000)  0.20
Pd (0.500, 0.500, 0.500)  1.19
F (0.862, 0.380, 0.378)  0.08
F (0.380, 0.862, 0.378)  0.08
F (0.380, 0.380, 0.378)  0.08
F (0.138, 0.620, 0.622)  0.08
F (0.620, 0.138, 0.622)  0.08
F (0.620, 0.620, 0.622)  0.08
F (0.728, 0.191, 0.891)  0.01
F (0.191, 0.728, 0.891)  0.01
F (0.191, 0.191, 0.891)  0.01
F (0.272, 0.809, 0.109)  0.01
F (0.809, 0.272, 0.109)  0.01
F (0.809, 0.809, 0.109)  0.01

=====

Entry 17:
Below is a relaxed structure of Tb2NdYP4, with properties calculated at the PBE-GGA level.

Formation energy ... -12.729 eV/f.u.
SG ... P2/m
V ... 189.4 Å³ per cell

Cell: 4.062 7.031 7.033 Å, 109.46 90.00 90.00°
Fractional positions:
Tb (0.500, 0.000, 0.500)
Tb (0.000, 0.500, 0.500)
Nd (0.500, 0.500, 0.000)
Y (0.000, 0.000, 0.000)
P (0.500, 0.247, 0.252)
P (0.500, 0.753, 0.748)
P (0.000, 0.244, 0.745)
P (0.000, 0.756, 0.255)

=====

Entry 18:
Below is a relaxed structure of Na2AcInI6, with properties calculated at the PBE-GGA level.

SG ... R3
V ... 455.4 Å³ per cell
ΔE_f (raw) ... -1.201 eV per atom

Cell: 8.323 8.324 8.986 Å, 62.40 62.40 59.99°
Fractional positions:
Na (0.513, 0.513, 0.460)
Na (0.006, 0.006, 0.982)
Ac (0.323, 0.323, 0.031)
In (0.814, 0.814, 0.559)
I (0.601, 0.239, 0.244)
I (0.239, 0.916, 0.244)
I (0.916, 0.601, 0.244)
I (0.380, 0.734, 0.750)
I (0.734, 0.135, 0.750)
I (0.135, 0.380, 0.750)